No. 1
A plane-wave DFT calculation with PBE was carried out for a relaxed NaLuNbCo crystal.

Summary:
uncorrected energy: -4.8438 eV/atom
M_tot: 1.7 μB/cell
symmetry: F-43m

Cell: 4.7498 4.7498 4.7498 Å, 60.00 60.00 60.00°
Last column: nearest neighbours and their distance in Å.
Positions (direct):
Na: 0.0000 0.0000 0.0000  4 Co 2.91, 4 Nb 2.91
Lu: 0.5000 0.5000 0.5000  4 Nb 2.91, 4 Co 2.91
Nb: 0.2500 0.2500 0.2500  4 Lu 2.91, 4 Na 2.91
Co: 0.7500 0.7500 0.7500  4 Lu 2.91, 4 Na 2.91

No. 2
A plane-wave DFT calculation with PBE was carried out for a relaxed NaLuNbCo crystal.

Summary:
uncorrected energy: -5.2291 eV/atom
M_tot: 0.0 μB/cell
symmetry: F-43m

Cell: 4.6715 4.6715 4.6715 Å, 60.00 60.00 60.00°
Last column: nearest neighbours and their distance in Å.
Positions (direct):
Na: 0.0000 0.0000 0.0000  4 Lu 2.86, 4 Nb 2.86
Lu: 0.7500 0.7500 0.7500  4 Co 2.86, 4 Na 2.86
Nb: 0.2500 0.2500 0.2500  4 Co 2.86, 4 Na 2.86
Co: 0.5000 0.5000 0.5000  4 Nb 2.86, 4 Lu 2.86

No. 3
A plane-wave DFT calculation with PBE was carried out for a relaxed NaLuCoSb crystal.

Summary:
uncorrected energy: -4.4291 eV/atom
M_tot: 0.0 μB/cell
symmetry: F-43m

Cell: 4.6877 4.6877 4.6877 Å, 60.00 60.00 60.00°
Last column: nearest neighbours and their distance in Å.
Positions (direct):
Na: 0.0000 0.0000 0.0000  4 Sb 2.87, 4 Lu 2.87
Lu: 0.2500 0.2500 0.2500  4 Co 2.87, 4 Na 2.87
Co: 0.5000 0.5000 0.5000  4 Sb 2.87, 4 Lu 2.87
Sb: 0.7500 0.7500 0.7500  4 Na 2.87, 4 Co 2.87

No. 4
A plane-wave DFT calculation with PBE was carried out for a relaxed NaLuCoSb crystal.

Summary:
uncorrected energy: -4.2949 eV/atom
M_tot: 1.5 μB/cell
symmetry: F-43m

Cell: 4.9452 4.9452 4.9452 Å, 60.00 60.00 60.00°
Last column: nearest neighbours and their distance in Å.
Positions (direct):
Na: 0.0000 0.0000 0.0000  4 Sb 3.03, 4 Co 3.03
Lu: 0.5000 0.5000 0.5000  4 Sb 3.03, 4 Co 3.03
Co: 0.2500 0.2500 0.2500  4 Na 3.03, 4 Lu 3.03
Sb: 0.7500 0.7500 0.7500  4 Na 3.03, 4 Lu 3.03

No. 5
A plane-wave DFT calculation with PBE was carried out for a relaxed NaLuCoSe3 crystal.

Summary:
uncorrected energy: -4.9518 eV/atom
M_tot: 4.5 μB/cell
symmetry: Cmcm

Cell: 7.0799 7.0799 10.2226 Å, 90.00 90.00 147.95°
Last column: nearest neighbours and their distance in Å.
Positions (direct):
Na: 0.2452 0.7548 0.7500  6 Se 3.02-3.04
Na: 0.7548 0.2452 0.2500  6 Se 3.02-3.04
Lu: 0.0000 0.0000 0.0000  6 Se 2.78-2.80
Lu: 0.0000 0.0000 0.5000  6 Se 2.78-2.80
Co: 0.4866 0.5134 0.2500  4 Se 2.36
Co: 0.5134 0.4866 0.7500  4 Se 2.36
Se: 0.0835 0.9165 0.2500  2 Co 2.36
Se: 0.3679 0.6321 0.0821  1 Co 2.36
Se: 0.3679 0.6321 0.4179  1 Co 2.36
Se: 0.6321 0.3679 0.5821  1 Co 2.36
Se: 0.6321 0.3679 0.9179  1 Co 2.36
Se: 0.9165 0.0835 0.7500  2 Co 2.36

No. 6
A plane-wave DFT calculation with PBE was carried out for a relaxed NaLuCoSe3 crystal.

Summary:
uncorrected energy: -5.0017 eV/atom
M_tot: 3.9 μB/cell
symmetry: P2_1/m

Cell: 8.3637 3.9015 9.1096 Å, 90.00 104.66 90.00°
Last column: nearest neighbours and their distance in Å.
Positions (direct):
Na: 0.1932 0.2500 0.2211  5 Se 2.97-3.22
Na: 0.8068 0.7500 0.7789  5 Se 2.97-3.22
Lu: 0.3281 0.7500 0.8540  6 Se 2.78-2.91
Lu: 0.6719 0.2500 0.1460  6 Se 2.78-2.91
Co: 0.0758 0.2500 0.5879  4 Se 2.33-2.41
Co: 0.9242 0.7500 0.4121  4 Se 2.33-2.41
Se: 0.0924 0.2500 0.8554  1 Co 2.41
Se: 0.2076 0.7500 0.5255  3 Co 2.33-2.38
Se: 0.4415 0.7500 0.1695  3 Lu 2.79, 2 Na 2.97
Se: 0.5585 0.2500 0.8305  3 Lu 2.79, 2 Na 2.97
Se: 0.7924 0.2500 0.4745  3 Co 2.33-2.38
Se: 0.9076 0.7500 0.1446  1 Co 2.41

No. 7
A plane-wave DFT calculation with PBE was carried out for a relaxed NaLuCoSe3 crystal.

Summary:
uncorrected energy: -4.9603 eV/atom
M_tot: 11.2 μB/cell
symmetry: Pnma

Cell: 10.6571 3.9630 12.8507 Å, 90.00 90.00 90.00°
Last column: nearest neighbours and their distance in Å.
Positions (direct):
Na: 0.2174 0.2500 0.0021  7 Se 3.03-3.26
Na: 0.2826 0.7500 0.5021  7 Se 3.03-3.26
Na: 0.7174 0.2500 0.4979  7 Se 3.03-3.26
Na: 0.7826 0.7500 0.9979  7 Se 3.03-3.26
Lu: 0.0133 0.7500 0.7401  6 Se 2.77-2.85
Lu: 0.4867 0.2500 0.2401  6 Se 2.77-2.85
Lu: 0.5133 0.7500 0.7599  6 Se 2.77-2.85
Lu: 0.9867 0.2500 0.2599  6 Se 2.77-2.85
Co: 0.2390 0.7500 0.2195  4 Se 2.38-2.42
Co: 0.2610 0.2500 0.7195  4 Se 2.38-2.42
Co: 0.7390 0.7500 0.2805  4 Se 2.38-2.42
Co: 0.7610 0.2500 0.7805  4 Se 2.38-2.42
Se: 0.0530 0.7500 0.1172  1 Co 2.38
Se: 0.0883 0.2500 0.6026  1 Co 2.38
Se: 0.2408 0.2500 0.3274  2 Co 2.42
Se: 0.2592 0.7500 0.8274  2 Co 2.42
Se: 0.4117 0.7500 0.1026  1 Co 2.38
Se: 0.4470 0.2500 0.6172  1 Co 2.38
Se: 0.5530 0.7500 0.3828  1 Co 2.38
Se: 0.5883 0.2500 0.8974  1 Co 2.38
Se: 0.7408 0.2500 0.1726  2 Co 2.42
Se: 0.7592 0.7500 0.6726  2 Co 2.42
Se: 0.9117 0.7500 0.3974  1 Co 2.38
Se: 0.9470 0.2500 0.8828  1 Co 2.38

No. 8
A plane-wave DFT calculation with PBE was carried out for a relaxed NaLuCoTe3 crystal.

Summary:
uncorrected energy: -4.4573 eV/atom
M_tot: 9.7 μB/cell
symmetry: Pnma

Cell: 11.1786 4.1639 14.2626 Å, 90.00 90.00 90.00°
Last column: nearest neighbours and their distance in Å.
Positions (direct):
Na: 0.2348 0.2500 0.0106  6 Te 3.22-3.32
Na: 0.2652 0.7500 0.5106  6 Te 3.22-3.32
Na: 0.7348 0.2500 0.4894  6 Te 3.22-3.32
Na: 0.7652 0.7500 0.9894  6 Te 3.22-3.32
Lu: 0.0150 0.7500 0.7483  6 Te 2.98-3.02
Lu: 0.4850 0.2500 0.2483  6 Te 2.98-3.02
Lu: 0.5150 0.7500 0.7517  6 Te 2.98-3.02
Lu: 0.9850 0.2500 0.2517  6 Te 2.98-3.02
Co: 0.2398 0.7500 0.2216  4 Te 2.57-2.60
Co: 0.2602 0.2500 0.7216  4 Te 2.57-2.60
Co: 0.7398 0.7500 0.2784  4 Te 2.57-2.60
Co: 0.7602 0.2500 0.7784  4 Te 2.57-2.60
Te: 0.0576 0.7500 0.1117  1 Co 2.57
Te: 0.0815 0.2500 0.6078  1 Co 2.57
Te: 0.2362 0.2500 0.3304  2 Co 2.60
Te: 0.2638 0.7500 0.8304  2 Co 2.60
Te: 0.4185 0.7500 0.1078  1 Co 2.57
Te: 0.4424 0.2500 0.6117  1 Co 2.57
Te: 0.5576 0.7500 0.3883  1 Co 2.57
Te: 0.5815 0.2500 0.8922  1 Co 2.57
Te: 0.7362 0.2500 0.1696  2 Co 2.60
Te: 0.7638 0.7500 0.6696  2 Co 2.60
Te: 0.9185 0.7500 0.3922  1 Co 2.57
Te: 0.9424 0.2500 0.8883  1 Co 2.57

Copy entry 3 word for word.
A plane-wave DFT calculation with PBE was carried out for a relaxed NaLuCoSb crystal.

Summary:
uncorrected energy: -4.4291 eV/atom
M_tot: 0.0 μB/cell
symmetry: F-43m

Cell: 4.6877 4.6877 4.6877 Å, 60.00 60.00 60.00°
Last column: nearest neighbours and their distance in Å.
Positions (direct):
Na: 0.0000 0.0000 0.0000  4 Sb 2.87, 4 Lu 2.87
Lu: 0.2500 0.2500 0.2500  4 Co 2.87, 4 Na 2.87
Co: 0.5000 0.5000 0.5000  4 Sb 2.87, 4 Lu 2.87
Sb: 0.7500 0.7500 0.7500  4 Na 2.87, 4 Co 2.87